Below is an optimized crystal structure of PmCr2CuO6, with properties calculated at the PBE with a Hubbard U level.

```
data_PmCr2CuO6
_chemical_formula_sum 'Pm3 Cr6 Cu3 O18'
_symmetry_space_group_name_H-M 'R 3'
_symmetry_Int_Tables_number 146
_symmetry_space_group_name_Hall 'R 3'
_cell_length_a 5.3374
_cell_length_b 5.3374
_cell_length_c 13.6143
_cell_angle_alpha 90.00
_cell_angle_beta 90.00
_cell_angle_gamma 120.00
loop_
_atom_site_label
_atom_site_fract_x
_atom_site_fract_y
_atom_site_fract_z
_atom_site_occupancy
Pm1 0.0000 0.0000 0.0000 1
Cr1 0.0000 0.0000 0.2590 1
Cr2 0.0000 0.0000 0.7688 1
Cu1 0.0000 0.0000 0.4630 1
O1 0.0075 0.3768 0.5215 1
O2 0.0198 0.5915 0.0266 1
```

Calculated values
Calculated volume in Å³ per cell: 335.9
Crystal system: trigonal
E_tot in eV/f.u.: -72.34